1.
Density functional theory data (SCAN) for a PBEsol-optimized structure of CaMg2Cu9.

a = 4.9512 Å, b = 4.9512 Å, c = 8.4153 Å
α = 72.89°, β = 72.89°, γ = 60.00°
Closest atoms and distances in Å follow each position.
Fractional positions:
1 Ca 0.0000 0.0000 0.0000  18 Cu 2.86-3.19
2 Cu 0.3333 0.3333 0.0002  6 Cu 2.46-2.48
3 Cu 0.6667 0.6667 0.9998  6 Cu 2.46-2.48
4 Cu 0.5000 0.5000 0.5000  6 Cu 2.42
5 Cu 0.5863 0.5863 0.7457  7 Cu 2.42-2.50
6 Cu 0.5863 0.0818 0.7457  7 Cu 2.42-2.50
7 Cu 0.0818 0.5863 0.7457  7 Cu 2.42-2.50
8 Cu 0.4137 0.4137 0.2543  7 Cu 2.42-2.50
9 Cu 0.9182 0.4137 0.2543  7 Cu 2.42-2.50
10 Cu 0.4137 0.9182 0.2543  7 Cu 2.42-2.50
11 Mg 0.1445 0.1445 0.5665  12 Cu 2.85-2.91, 3 Mg 3.05
12 Mg 0.8555 0.8555 0.4335  12 Cu 2.85-2.91, 3 Mg 3.05

Mass density (g/cm3): 6.53
Magnetic moment (μB/f.u.): 0.00



2.
Density functional theory data (SCAN) for a PBEsol-optimized structure of Ca2MgCu2.

a = 5.7170 Å, b = 5.8440 Å, c = 7.8438 Å
α = 102.15°, β = 90.00°, γ = 119.28°
Closest atoms and distances in Å follow each position.
Fractional positions:
1 Ca 0.9939 0.7041 0.8535  6 Cu 3.03-3.17, 2 Mg 3.36-3.38
2 Ca 0.2898 0.2959 0.6465  6 Cu 3.03-3.17, 2 Mg 3.36-3.38
3 Ca 0.0061 0.2959 0.1465  6 Cu 3.03-3.17, 2 Mg 3.36-3.38
4 Ca 0.7102 0.7041 0.3535  6 Cu 3.03-3.17, 2 Mg 3.36-3.38
5 Cu 0.4964 0.2919 0.0027  1 Cu 2.42, 1 Mg 2.69
6 Cu 0.2044 0.7081 0.4973  1 Cu 2.42, 1 Mg 2.69
7 Cu 0.5036 0.7081 0.9973  1 Cu 2.42, 1 Mg 2.69
8 Cu 0.7956 0.2919 0.5027  1 Cu 2.42, 1 Mg 2.69
9 Mg 0.3709 0.0000 0.2500  4 Cu 2.69-2.72
10 Mg 0.6291 0.0000 0.7500  4 Cu 2.69-2.72

Mass density (g/cm3): 3.47
Magnetic moment (μB/f.u.): 0.00



3.
Density functional theory data (SCAN) for a PBEsol-optimized structure of Ca2MgCu.

a = 3.5235 Å, b = 5.3167 Å, c = 6.3543 Å
α = 114.73°, β = 106.10°, γ = 90.00°
Closest atoms and distances in Å follow each position.
Fractional positions:
1 Ca 0.0067 0.0067 0.0133  4 Cu 3.20, 4 Ca 3.43-3.52, 2 Mg 3.47
2 Ca 0.2038 0.7038 0.4075  2 Cu 2.98
3 Mg 0.8043 0.3043 0.6087  2 Cu 2.66
4 Cu 0.4852 0.4852 0.9705  2 Mg 2.66

Mass density (g/cm3): 2.71
Magnetic moment (μB/f.u.): 0.11



4.
Density functional theory data (SCAN) for a PBEsol-optimized structure of CaMg2Cu.

a = 4.5886 Å, b = 4.6840 Å, c = 5.6311 Å
α = 114.63°, β = 90.00°, γ = 119.33°
Closest atoms and distances in Å follow each position.
Fractional positions:
1 Ca 0.5094 0.0188 0.5160  1 Cu 2.95, 4 Mg 3.14-3.24
2 Cu 0.3032 0.6064 0.9198  6 Mg 2.68-2.99, 1 Ca 2.95
3 Mg 0.9696 0.9392 0.9127  3 Cu 2.68-2.71, 3 Mg 2.93-2.95
4 Mg 0.7178 0.4356 0.1516  3 Cu 2.89-2.99, 3 Mg 2.93-2.95, 1 Ca 3.14

Mass density (g/cm3): 2.73
Magnetic moment (μB/f.u.): 0.00



| no. | E_form (meV per atom) |
| --- | --- |
| 1 | -151 |
| 2 | -137 |
| 3 | -18 |
| 4 | -15 |